# 1
This record from OQMD via LeMat-Bulk describes HfMgB4 after structural relaxation. The functional is PBE.

```
data_HfMgB4
_cell_length_a 3.116
_cell_length_b 5.367
_cell_length_c 7.028
_cell_angle_alpha 90.00
_cell_angle_beta 90.00
_cell_angle_gamma 90.00
_symmetry_space_group_name_H-M 'P 1'
_symmetry_Int_Tables_number 1
loop_
_symmetry_equiv_pos_as_xyz
'x,y,z'
loop_
_atom_site_label
_atom_site_fract_x
_atom_site_fract_y
_atom_site_fract_z
_atom_site_occupancy
Hf1 0.000 0.000 0.000 1
Hf2 0.500 0.500 0.500 1
Mg1 0.000 0.000 0.500 1
Mg2 0.500 0.500 0.000 1
B1 0.000 0.332 0.253 1
B2 0.000 0.332 0.747 1
B3 0.000 0.668 0.253 1
B4 0.000 0.668 0.747 1
B5 0.500 0.168 0.247 1
B6 0.500 0.168 0.753 1
B7 0.500 0.832 0.247 1
B8 0.500 0.832 0.753 1
```

Output
magnetic moment = 0.00 Bohr magnetons per cell



# 2
This record from OQMD via LeMat-Bulk describes K2Zn2BiAs after structural relaxation. The functional is PBE.

```
data_K2Zn2BiAs
_cell_length_a 4.513
_cell_length_b 4.513
_cell_length_c 10.554
_cell_angle_alpha 90.00
_cell_angle_beta 90.00
_cell_angle_gamma 120.00
_symmetry_space_group_name_H-M 'P 1'
_symmetry_Int_Tables_number 1
loop_
_symmetry_equiv_pos_as_xyz
'x,y,z'
loop_
_atom_site_label
_atom_site_fract_x
_atom_site_fract_y
_atom_site_fract_z
_atom_site_occupancy
K1 0.000 0.000 0.237 1
K2 0.000 0.000 0.763 1
Zn1 0.333 0.667 0.000 1
Zn2 0.667 0.333 0.500 1
Bi1 0.333 0.667 0.500 1
As1 0.667 0.333 0.000 1
```



# 3
This record from OQMD via LeMat-Bulk describes LaTbGa6 after structural relaxation. The functional is PBE.

```
data_LaTbGa6
_cell_length_a 6.447
_cell_length_b 6.447
_cell_length_c 4.567
_cell_angle_alpha 90.00
_cell_angle_beta 90.00
_cell_angle_gamma 120.00
_symmetry_space_group_name_H-M 'P 1'
_symmetry_Int_Tables_number 1
loop_
_symmetry_equiv_pos_as_xyz
'x,y,z'
loop_
_atom_site_label
_atom_site_fract_x
_atom_site_fract_y
_atom_site_fract_z
_atom_site_occupancy
La1 0.000 0.000 0.000 1
Tb1 0.667 0.333 0.500 1
Ga1 0.040 0.520 0.000 1
Ga2 0.191 0.381 0.500 1
Ga3 0.191 0.809 0.500 1
Ga4 0.480 0.520 0.000 1
Ga5 0.480 0.960 0.000 1
Ga6 0.619 0.809 0.500 1
```

Output
magnetic moment = 0.00 Bohr magnetons per cell



# 4
This record from OQMD via LeMat-Bulk describes PrInPd after structural relaxation. The functional is PBE.

```
data_PrInPd
_cell_length_a 7.990
_cell_length_b 7.990
_cell_length_c 4.177
_cell_angle_alpha 90.00
_cell_angle_beta 90.00
_cell_angle_gamma 120.00
_symmetry_space_group_name_H-M 'P 1'
_symmetry_Int_Tables_number 1
loop_
_symmetry_equiv_pos_as_xyz
'x,y,z'
loop_
_atom_site_label
_atom_site_fract_x
_atom_site_fract_y
_atom_site_fract_z
_atom_site_occupancy
Pr1 0.000 0.590 0.000 1
Pr2 0.410 0.410 0.000 1
Pr3 0.590 0.000 0.000 1
In1 0.000 0.250 0.500 1
In2 0.250 0.000 0.500 1
In3 0.750 0.750 0.500 1
Pd1 0.000 0.000 0.000 1
Pd2 0.333 0.667 0.500 1
Pd3 0.667 0.333 0.500 1
```

Output
magnetic moment = 0.05 Bohr magnetons per cell



# 5
This record from OQMD via LeMat-Bulk describes GdCuSnS3 after structural relaxation. The functional is PBE.

```
data_GdCuSnS3
_cell_length_a 13.048
_cell_length_b 3.903
_cell_length_c 10.531
_cell_angle_alpha 90.00
_cell_angle_beta 90.00
_cell_angle_gamma 90.00
_symmetry_space_group_name_H-M 'P 1'
_symmetry_Int_Tables_number 1
loop_
_symmetry_equiv_pos_as_xyz
'x,y,z'
loop_
_atom_site_label
_atom_site_fract_x
_atom_site_fract_y
_atom_site_fract_z
_atom_site_occupancy
Gd1 0.013 0.250 0.172 1
Gd2 0.487 0.750 0.672 1
Gd3 0.513 0.250 0.328 1
Gd4 0.987 0.750 0.828 1
Cu1 0.007 0.750 0.414 1
Cu2 0.493 0.250 0.914 1
Cu3 0.507 0.750 0.086 1
Cu4 0.993 0.250 0.586 1
Sn1 0.218 0.250 0.458 1
Sn2 0.282 0.750 0.958 1
Sn3 0.718 0.250 0.042 1
Sn4 0.782 0.750 0.542 1
S1 0.101 0.750 0.611 1
S2 0.111 0.250 0.938 1
S3 0.141 0.750 0.265 1
S4 0.359 0.250 0.765 1
S5 0.389 0.750 0.438 1
S6 0.399 0.250 0.111 1
S7 0.601 0.750 0.889 1
S8 0.611 0.250 0.562 1
S9 0.641 0.750 0.235 1
S10 0.859 0.250 0.735 1
S11 0.889 0.750 0.062 1
S12 0.899 0.250 0.389 1
```

Output
magnetic moment = 0.00 Bohr magnetons per cell



# 6
This record from OQMD via LeMat-Bulk describes LiTbAsO after structural relaxation. The functional is PBE.

```
data_LiTbAsO
_cell_length_a 3.383
_cell_length_b 6.622
_cell_length_c 6.966
_cell_angle_alpha 90.00
_cell_angle_beta 90.00
_cell_angle_gamma 90.00
_symmetry_space_group_name_H-M 'P 1'
_symmetry_Int_Tables_number 1
loop_
_symmetry_equiv_pos_as_xyz
'x,y,z'
loop_
_atom_site_label
_atom_site_fract_x
_atom_site_fract_y
_atom_site_fract_z
_atom_site_occupancy
Li1 0.000 0.160 0.000 1
Li2 0.000 0.840 0.500 1
Tb1 0.500 0.460 0.678 1
Tb2 0.500 0.540 0.178 1
As1 0.000 0.229 0.404 1
As2 0.000 0.771 0.904 1
O1 0.500 0.305 0.953 1
O2 0.500 0.695 0.453 1
```

Output
magnetic moment = 0.01 Bohr magnetons per cell



# 7
This record from OQMD via LeMat-Bulk describes NbReAg2S6 after structural relaxation. The functional is PBE.

```
data_NbReAg2S6
_cell_length_a 6.696
_cell_length_b 6.696
_cell_length_c 6.696
_cell_angle_alpha 60.00
_cell_angle_beta 60.00
_cell_angle_gamma 60.00
_symmetry_space_group_name_H-M 'P 1'
_symmetry_Int_Tables_number 1
loop_
_symmetry_equiv_pos_as_xyz
'x,y,z'
loop_
_atom_site_label
_atom_site_fract_x
_atom_site_fract_y
_atom_site_fract_z
_atom_site_occupancy
Nb1 0.000 0.000 0.000 1
Re1 0.500 0.500 0.500 1
Ag1 0.250 0.250 0.250 1
Ag2 0.750 0.750 0.750 1
S1 0.254 0.254 0.746 1
S2 0.254 0.746 0.254 1
S3 0.254 0.746 0.746 1
S4 0.746 0.254 0.254 1
S5 0.746 0.254 0.746 1
S6 0.746 0.746 0.254 1
```

Output
magnetic moment = 0.01 Bohr magnetons per cell



# 8
This record from OQMD via LeMat-Bulk describes LaAgPbO3 after structural relaxation. The functional is PBE.

```
data_LaAgPbO3
_cell_length_a 6.944
_cell_length_b 6.944
_cell_length_c 8.742
_cell_angle_alpha 90.00
_cell_angle_beta 90.00
_cell_angle_gamma 148.25
_symmetry_space_group_name_H-M 'P 1'
_symmetry_Int_Tables_number 1
loop_
_symmetry_equiv_pos_as_xyz
'x,y,z'
loop_
_atom_site_label
_atom_site_fract_x
_atom_site_fract_y
_atom_site_fract_z
_atom_site_occupancy
La1 0.000 0.000 0.000 1
La2 0.000 0.000 0.500 1
Ag1 0.362 0.638 0.750 1
Ag2 0.638 0.362 0.250 1
Pb1 0.321 0.679 0.250 1
Pb2 0.679 0.321 0.750 1
O1 0.076 0.924 0.750 1
O2 0.386 0.614 0.515 1
O3 0.386 0.614 0.985 1
O4 0.614 0.386 0.015 1
O5 0.614 0.386 0.485 1
O6 0.924 0.076 0.250 1
```

Output
magnetic moment = 0.00 Bohr magnetons per cell



# 9
This record from OQMD via LeMat-Bulk describes ZrInCuRe after structural relaxation. The functional is PBE.

```
data_ZrInCuRe
_cell_length_a 6.555
_cell_length_b 6.555
_cell_length_c 6.555
_cell_angle_alpha 90.00
_cell_angle_beta 90.00
_cell_angle_gamma 90.00
_symmetry_space_group_name_H-M 'P 1'
_symmetry_Int_Tables_number 1
loop_
_symmetry_equiv_pos_as_xyz
'x,y,z'
loop_
_atom_site_label
_atom_site_fract_x
_atom_site_fract_y
_atom_site_fract_z
_atom_site_occupancy
Zr1 0.000 0.000 0.000 1
Zr2 0.000 0.500 0.500 1
Zr3 0.500 0.000 0.500 1
Zr4 0.500 0.500 0.000 1
In1 0.000 0.000 0.500 1
In2 0.000 0.500 0.000 1
In3 0.500 0.000 0.000 1
In4 0.500 0.500 0.500 1
Cu1 0.250 0.250 0.750 1
Cu2 0.250 0.750 0.250 1
Cu3 0.750 0.250 0.250 1
Cu4 0.750 0.750 0.750 1
Re1 0.250 0.250 0.250 1
Re2 0.250 0.750 0.750 1
Re3 0.750 0.250 0.750 1
Re4 0.750 0.750 0.250 1
```

Output
magnetic moment = 0.01 Bohr magnetons per cell



# 10
This record from OQMD via LeMat-Bulk describes Tc2Os after structural relaxation. The functional is PBE.

```
data_Tc2Os
_cell_length_a 5.017
_cell_length_b 5.017
_cell_length_c 5.017
_cell_angle_alpha 60.00
_cell_angle_beta 60.00
_cell_angle_gamma 60.00
_symmetry_space_group_name_H-M 'P 1'
_symmetry_Int_Tables_number 1
loop_
_symmetry_equiv_pos_as_xyz
'x,y,z'
loop_
_atom_site_label
_atom_site_fract_x
_atom_site_fract_y
_atom_site_fract_z
_atom_site_occupancy
Tc1 0.000 0.000 0.000 1
Tc2 0.000 0.000 0.500 1
Tc3 0.000 0.500 0.000 1
Tc4 0.500 0.000 0.000 1
Os1 0.375 0.375 0.375 1
Os2 0.625 0.625 0.625 1
```

Output
magnetic moment = 0.00 Bohr magnetons per cell



# 11
This record from OQMD via LeMat-Bulk describes Dy4ErTm2Ni2S2 after structural relaxation. The functional is PBE.

```
data_Dy4ErTm2Ni2S2
_cell_length_a 8.881
_cell_length_b 8.881
_cell_length_c 8.881
_cell_angle_alpha 155.62
_cell_angle_beta 67.52
_cell_angle_gamma 118.14
_symmetry_space_group_name_H-M 'P 1'
_symmetry_Int_Tables_number 1
loop_
_symmetry_equiv_pos_as_xyz
'x,y,z'
loop_
_atom_site_label
_atom_site_fract_x
_atom_site_fract_y
_atom_site_fract_z
_atom_site_occupancy
Dy1 0.119 0.000 0.119 1
Dy2 0.520 0.155 0.365 1
Dy3 0.789 0.155 0.635 1
Dy4 0.881 0.000 0.881 1
Er1 0.402 0.402 0.000 1
Tm1 0.109 0.793 0.316 1
Tm2 0.478 0.793 0.684 1
Ni1 0.249 0.489 0.760 1
Ni2 0.728 0.489 0.240 1
S1 0.159 0.659 0.500 1
S2 0.746 0.746 0.000 1
```

Output
magnetic moment = 0.02 Bohr magnetons per cell



# 12
This record from OQMD via LeMat-Bulk describes CoReNiPb after structural relaxation. The functional is PBE.

```
data_CoReNiPb
_cell_length_a 6.166
_cell_length_b 6.166
_cell_length_c 6.166
_cell_angle_alpha 90.00
_cell_angle_beta 90.00
_cell_angle_gamma 90.00
_symmetry_space_group_name_H-M 'P 1'
_symmetry_Int_Tables_number 1
loop_
_symmetry_equiv_pos_as_xyz
'x,y,z'
loop_
_atom_site_label
_atom_site_fract_x
_atom_site_fract_y
_atom_site_fract_z
_atom_site_occupancy
Co1 0.000 0.000 0.000 1
Co2 0.000 0.500 0.500 1
Co3 0.500 0.000 0.500 1
Co4 0.500 0.500 0.000 1
Re1 0.250 0.250 0.250 1
Re2 0.250 0.750 0.750 1
Re3 0.750 0.250 0.750 1
Re4 0.750 0.750 0.250 1
Ni1 0.000 0.000 0.500 1
Ni2 0.000 0.500 0.000 1
Ni3 0.500 0.000 0.000 1
Ni4 0.500 0.500 0.500 1
Pb1 0.250 0.250 0.750 1
Pb2 0.250 0.750 0.250 1
Pb3 0.750 0.250 0.250 1
Pb4 0.750 0.750 0.750 1
```

Output
magnetic moment = 7.75 Bohr magnetons per cell



In eV/atom, the electronic total energy values for the records above are, in order, -6.894, -2.580, -4.034, -4.988, -5.148, -5.636, -5.219, -6.158, -6.702, -10.204, -5.519, -6.529.